This record from Alexandria via LeMat-Bulk describes an optimized crystal structure of BaHgIr2. The functional is PBE-GGA.

abc: 4.8560 4.8560 10.1477
angles: 76.16 76.16 90.00
With the nearest neighbours (Å) after each atom.
Atoms (fractional coordinates):
Ir 0.9355 0.6250 0.2500  2 Ir 2.50, 2 Hg 2.69
Ir 0.8750 0.0645 0.7500  2 Ir 2.50, 2 Hg 2.69
Ir 0.3750 0.1855 0.7500  2 Ir 2.50, 2 Hg 2.69
Ba 0.5000 0.5000 0.0000  8 Ir 3.42-3.82, 4 Hg 3.43
Hg 0.7500 0.2500 0.5000  4 Ir 2.69
Hg 0.0000 0.0000 0.0000  4 Ir 2.69
Ba 0.2500 0.7500 0.5000  8 Ir 3.42-3.82, 4 Hg 3.43
Ir 0.8145 0.1250 0.2500  2 Ir 2.50, 2 Hg 2.69

## Properties
- formation energy from the elements (eV/atom) = 0.21
- calculated density (g cm⁻³) = 10.65

This record from Alexandria via LeMat-Bulk describes an optimized crystal structure of Y2HoThBi5. The functional is PBE-GGA.

abc: 5.7291 5.7291 11.9041
angles: 90.00 90.00 90.00
With the nearest neighbours (Å) after each atom.
Atoms (fractional coordinates):
Bi 0.5000 0.0000 0.5000  2 Th 2.86
Bi 0.0000 0.0000 0.2414  1 Ho 2.87, 1 Th 3.08
Y 0.5000 0.5000 0.2684  1 Bi 3.20
Th 0.0000 0.0000 0.5000  6 Bi 2.86-3.08
Bi 0.0000 0.0000 0.7586  1 Ho 2.87, 1 Th 3.08
Bi 0.5000 0.5000 0.0000  2 Y 3.20
Ho 0.0000 0.0000 0.0000  2 Bi 2.87
Bi 0.0000 0.5000 0.5000  2 Th 2.86
Y 0.5000 0.5000 0.7316  1 Bi 3.20

## Properties
- formation energy from the elements (eV/atom) = 0.20
- calculated density (g cm⁻³) = 6.88

This record from Alexandria via LeMat-Bulk describes an optimized crystal structure of CsMg2ReI. The functional is PBE-GGA.

abc: 5.3996 5.9469 5.3996
angles: 90.00 90.00 90.00
With the nearest neighbours (Å) after each atom.
Atoms (fractional coordinates):
Cs 0.0000 0.5000 0.0000  2 Re 2.97
I 0.5000 0.5000 0.5000  4 Cs 3.82, 8 Mg 4.02
Re 0.0000 0.0000 0.0000  4 Mg 2.70, 2 Cs 2.97
Mg 0.5000 0.0000 0.0000  2 Re 2.70
Mg 0.0000 0.0000 0.5000  2 Re 2.70

## Properties
- ΔE_f (raw) (eV/atom) = 0.8114
- calculated density (g cm⁻³) = 4.74

This record from Alexandria via LeMat-Bulk describes an optimized crystal structure of Nd2TmMn. The functional is PBE-GGA.

abc: 3.4297 3.4297 11.8773
angles: 81.70 81.70 60.00
With the nearest neighbours (Å) after each atom.
Atoms (fractional coordinates):
Nd 0.9173 0.9173 0.2481  1 Mn 2.90
Mn 0.0000 0.0000 0.0000  2 Nd 2.90
Tm 0.5000 0.5000 0.5000  6 Tm 3.43, 6 Nd 3.55
Nd 0.0827 0.0827 0.7519  1 Mn 2.90

## Properties
- offset from the most stable computed form (meV per atom) = 354.0
- formation energy from the elements (eV/atom) = 0.54
- calculated density (g cm⁻³) = 7.13